A relaxed TlHg2P2O7 crystal, computed with GGA-PBE.

abc: 5.7235 5.7235 23.7984
angles: 90.00 90.00 120.00
Space group R32 (No. 155, hexagonal axes)
One atom of each set of equivalent atoms:
Tl 0.0000 0.0000 0.0000 [3 per cell]
Hg 0.0000 0.0000 0.2116 [6 per cell]
P 0.0000 0.0000 0.4328 [6 per cell]
O 0.0000 0.0000 0.5000 [3 per cell]
O 0.0158 0.2655 0.4146 [18 per cell]

Summary:
formation energy (no corrections) = -1.41 eV/atom

=====

A relaxed TlHgP2O6 crystal, computed with GGA-PBE.

abc: 6.0163 6.0163 19.1942
angles: 90.00 90.00 120.00
Space group R-3 (No. 148, hexagonal axes)
One atom of each set of equivalent atoms:
Tl 0.0000 0.0000 0.0000 [3 per cell]
Hg 0.0000 0.0000 0.5000 [3 per cell]
P 0.0000 0.0000 0.2466 [6 per cell]
O 0.0252 0.7639 0.2463 [18 per cell]

Summary:
formation energy (no corrections) = -1.39 eV/atom

=====

A relaxed UHgP2O8 crystal, computed with GGA-PBE.

abc: 5.3790 5.3790 25.3383
angles: 90.00 90.00 120.00
Space group R-3 (No. 148, hexagonal axes)
One atom of each set of equivalent atoms:
U 0.0000 0.0000 0.0000 [3 per cell]
Hg 0.0000 0.0000 0.5000 [3 per cell]
P 0.0000 0.0000 0.2599 [6 per cell]
O 0.0000 0.0000 0.2011 [6 per cell]
O 0.0327 0.4492 0.3815 [18 per cell]

Summary:
formation energy (no corrections) = -2.19 eV/atom

=====

no.,volume (Å³ per atom)
1,18.75
2,20.06
3,17.64